CsPd2Cl: relaxed, PBE.

E above lowest polymorph, eV per atom: 0.000

Cell: 5.588 5.588 15.468 Å, 90.00 90.00 90.00°
Space group I4_1/amd (No. 141, origin choice 2)
Unique sites:
1 Cs 0.000 0.250 0.375 [4 per cell]
2 Pd 0.000 0.000 0.000 [8 per cell]
3 Cl 0.000 0.250 0.875 [4 per cell]

=====

Cs12Pd5Cl3: relaxed, PBE.

Cell: 20.533 20.533 20.533 Å, 90.00 90.00 90.00°
Space group Ia-3d (No. 230)
Unique sites:
1 Cs 0.024 0.063 0.653 [96 per cell]
2 Pd 0.000 0.000 0.000 [16 per cell]
3 Pd 0.000 0.250 0.375 [24 per cell]
4 Cl 0.000 0.250 0.125 [24 per cell]

=====

Cs5PdCl8: relaxed, PBE.

Cell: 10.121 10.121 11.145 Å, 90.00 90.00 90.00°
Space group I-4 (No. 82)
Unique sites:
1 Cs 0.000 0.000 0.000 [2 per cell]
2 Cs 0.135 0.716 0.599 [8 per cell]
3 Pd 0.000 0.500 0.250 [2 per cell]
4 Cl 0.027 0.727 0.259 [8 per cell]
5 Cl 0.113 0.696 0.905 [8 per cell]

=====

CsPd3Cl: relaxed, PBE.

E above lowest polymorph, eV per atom: 0.917

Cell: 5.282 5.282 5.282 Å, 90.00 90.00 90.00°
Space group Pm-3m (No. 221)
Unique sites:
1 Cs 0.000 0.000 0.000 [1 per cell]
2 Pd 0.000 0.000 0.500 [3 per cell]
3 Cl 0.500 0.500 0.500 [1 per cell]

=====

Here are the calculated raw formation energy numbers, same order: -0.240 -0.416 -1.463 1.141 (eV per atom).